Entry one
Density functional theory data (GGA-PBE) for a relaxed structure of Ce2PdSe4.

abc: 7.9484 7.9484 7.9378
angles: 107.88 107.88 112.74
Fractional positions:
Ce 0.7315 0.2756 0.0443
Ce 0.2312 0.6871 0.9557
Ce 0.5256 0.4815 0.5443
Ce 0.9371 0.9812 0.4557
Pd 0.8555 0.3555 0.5000
Pd 0.6055 0.6055 0.0000
Se 0.5459 0.8246 0.8351
Se 0.9895 0.7108 0.1649
Se 0.9608 0.7395 0.6649
Se 0.9180 0.2515 0.7798
Se 0.5015 0.6680 0.2798
Se 0.3883 0.2217 0.7202
Se 0.0746 0.2959 0.3351
Se 0.4717 0.1383 0.2202

Results
Magnetic moment (μB/atom): 0.000
Symmetry: No. 43



Entry two
Density functional theory data (GGA-PBE) for a relaxed structure of Ce2PdSe4.

abc: 7.1458 5.8790 8.3251
angles: 90.00 106.95 90.00
Fractional positions:
Ce 0.7687 0.7500 0.0651
Ce 0.7590 0.7500 0.5673
Ce 0.2410 0.2500 0.4327
Ce 0.2313 0.2500 0.9349
Se 0.9361 0.2500 0.5992
Se 0.5308 0.4858 0.2568
Se 0.5308 0.0142 0.2568
Se 0.9334 0.2500 0.1193
Se 0.0639 0.7500 0.4008
Se 0.4692 0.9858 0.7432
Se 0.0666 0.7500 0.8807
Se 0.4692 0.5142 0.7432
Pd 0.2465 0.7500 0.1865
Pd 0.7535 0.2500 0.8135

Results
Magnetic moment (μB/atom): 0.175
Symmetry: No. 11



Which of them is least stable? Easy: entry two.



Entry one
Density functional theory data (GGA-PBE) for a relaxed structure of CePdSe.

abc: 4.0137 4.0136 8.4846
angles: 90.00 90.12 90.00
Fractional positions:
Pd 0.2503 0.7500 0.5000
Pd 0.7497 0.2500 0.5000
Ce 0.2488 0.2500 0.7676
Ce 0.7512 0.7500 0.2324
Se 0.2508 0.2500 0.1356
Se 0.7492 0.7500 0.8644

Results
Magnetic moment (μB/atom): 0.229
Symmetry: No. 11



Entry two
Density functional theory data (GGA-PBE) for a relaxed structure of CePdSe.

abc: 3.7895 3.7895 5.2411
angles: 111.19 111.19 90.00
Fractional positions:
Pd 0.9439 0.9439 0.8878
Se 0.6220 0.6220 0.2440
Ce 0.2841 0.2841 0.5682

Results
Magnetic moment (μB/atom): 0.028
Symmetry: No. 107



Which of them is least stable? Easy: entry two.